1.
This record from the Alexandria database describes a geometry-optimized Tl2CuI2F2 structure. The functional is PBE.

Space-group type: P-1 (2)
E: -3.287 eV/atom
Energy relative to the elements, uncorrected: -708 kJ/mol of formula units

Structure (extended XYZ):
```
7
Lattice="4.409 0.000 0.000 -1.771 6.464 0.000 -1.756 -2.152 6.903" Properties=species:S:1:pos:R:3 pbc="T T T"
Tl -0.796 1.791 1.671
Tl 1.678 2.520 5.232
Cu 1.326 -1.076 3.452
I -0.389 -0.471 5.458
I 1.271 4.783 1.445
F -0.519 3.544 3.920
F 1.401 0.768 2.983
```

---

2.
This record from the Alexandria database describes a geometry-optimized TlCu2IF2 structure. The functional is PBE.

Space-group type: P2_1/m (11)
E: -3.608 eV/atom
Energy relative to the elements, uncorrected: -559 kJ/mol of formula units

Structure (extended XYZ):
```
12
Lattice="6.651 0.000 0.000 0.000 5.067 0.000 -3.149 0.000 7.829" Properties=species:S:1:pos:R:3 pbc="T T T"
Tl -0.270 1.267 3.298
Tl 3.773 3.801 4.531
Cu -0.250 2.537 6.699
Cu -0.250 5.064 6.699
Cu 3.753 0.004 1.130
Cu 3.753 2.530 1.130
I 1.479 3.801 0.753
I 2.023 1.267 7.075
F -1.553 1.267 5.561
F -0.231 3.801 4.985
F 3.734 1.267 2.844
F 5.056 3.801 2.268
```

---

3.
This record from the Alexandria database describes a geometry-optimized TlCuIF2 structure. The functional is PBE.

Space-group type: Cmcm (63)
E: -3.536 eV/atom
Energy relative to the elements, uncorrected: -572 kJ/mol of formula units

Structure (extended XYZ):
```
10
Lattice="2.042 -6.674 0.000 2.042 6.674 0.000 0.000 0.000 8.002" Properties=species:S:1:pos:R:3 pbc="T T T"
Tl 2.042 3.679 6.002
Tl 2.042 -3.679 2.001
Cu 2.042 0.000 0.000
Cu 2.042 0.000 4.001
I 2.042 6.168 2.001
I 2.042 -6.168 6.002
F 2.042 1.837 0.376
F 2.042 1.837 3.626
F 2.042 -1.837 4.377
F 2.042 -1.837 7.627
```

---

4.
This record from the Alexandria database describes a geometry-optimized In3CuF structure. The functional is PBE.

Energy above the lowest structure with this stoichiometry: 116.0 meV per atom
Space-group type: Pm-3m (221)
E: -3.049 eV/atom
Energy relative to the elements, uncorrected: -103 kJ/mol of formula units

Structure (extended XYZ):
```
5
Lattice="4.953 0.000 0.000 0.000 4.953 0.000 0.000 0.000 4.953" Properties=species:S:1:pos:R:3 pbc="T T T"
In 0.000 0.000 2.476
In 0.000 2.476 0.000
In 2.476 0.000 0.000
Cu 2.476 2.476 2.476
F 0.000 0.000 0.000
```

---

5.
This record from the Alexandria database describes a geometry-optimized InCu3F structure. The functional is PBE.

Energy above the lowest structure with this stoichiometry: 699.1 meV per atom
Space-group type: Pm-3m (221)
E: -2.675 eV/atom
Energy relative to the elements, uncorrected: 340 kJ/mol of formula units

Structure (extended XYZ):
```
5
Lattice="4.878 0.000 0.000 0.000 4.878 0.000 0.000 0.000 4.878" Properties=species:S:1:pos:R:3 pbc="T T T"
In 0.000 0.000 0.000
Cu 0.000 0.000 2.439
Cu 0.000 2.439 0.000
Cu 2.439 0.000 0.000
F 2.439 2.439 2.439
```

---

6.
This record from the Alexandria database describes a geometry-optimized InCu3F structure. The functional is PBE.

Energy above the lowest structure with this stoichiometry: 0.0 meV per atom
Space-group type: Pm-3m (221)
E: -3.374 eV/atom
Energy relative to the elements, uncorrected: 3 kJ/mol of formula units

Structure (extended XYZ):
```
5
Lattice="4.236 0.000 0.000 0.000 4.236 0.000 0.000 0.000 4.236" Properties=species:S:1:pos:R:3 pbc="T T T"
In 0.000 0.000 0.000
Cu 0.000 2.118 2.118
Cu 2.118 0.000 2.118
Cu 2.118 2.118 0.000
F 2.118 2.118 2.118
```

---

7.
This record from the Alexandria database describes a geometry-optimized In3CuF structure. The functional is PBE.

Energy above the lowest structure with this stoichiometry: 0.0 meV per atom
Space-group type: Pm-3m (221)
E: -3.165 eV/atom
Energy relative to the elements, uncorrected: -158 kJ/mol of formula units

Structure (extended XYZ):
```
5
Lattice="5.024 0.000 0.000 0.000 5.024 0.000 0.000 0.000 5.024" Properties=species:S:1:pos:R:3 pbc="T T T"
In 0.000 0.000 2.512
In 0.000 2.512 0.000
In 2.512 0.000 0.000
Cu 0.000 0.000 0.000
F 2.512 2.512 2.512
```

---

8.
This record from the Alexandria database describes a geometry-optimized In2CuF8 structure. The functional is PBE.

Space-group type: C2/m (12)
E: -4.420 eV/atom
Energy relative to the elements, uncorrected: -2323 kJ/mol of formula units

Structure (extended XYZ):
```
11
Lattice="4.439 -3.379 0.000 4.439 3.379 0.000 -1.204 0.000 4.884" Properties=species:S:1:pos:R:3 pbc="T T T"
In 1.089 0.000 2.108
In 6.584 0.000 2.777
Cu 4.439 0.000 0.000
F -0.347 0.000 3.697
F 2.266 1.314 3.474
F 2.868 0.000 1.014
F 5.407 1.314 1.411
F 2.266 -1.314 3.474
F 4.805 0.000 3.870
F 5.407 -1.314 1.411
F 8.020 0.000 1.187
```

---

9.
This record from the Alexandria database describes a geometry-optimized InCu2F structure. The functional is PBE.

Energy above the lowest structure with this stoichiometry: 0.0 meV per atom
Space-group type: I-42d (122)
E: -3.594 eV/atom
Energy relative to the elements, uncorrected: -152 kJ/mol of formula units

Structure (extended XYZ):
```
8
Lattice="-3.430 3.430 2.529 3.430 -3.430 2.529 3.430 3.430 -2.529" Properties=species:S:1:pos:R:3 pbc="T T T"
In 0.000 0.000 0.000
In 0.000 3.430 1.265
Cu 1.715 -1.425 1.897
Cu 2.005 1.715 0.632
Cu 1.715 4.855 -0.632
Cu 1.425 1.715 3.161
F 3.430 0.000 1.265
F 0.000 0.000 2.529
```

---

10.
This record from the Alexandria database describes a geometry-optimized InCu2F structure. The functional is PBE.

Energy above the lowest structure with this stoichiometry: 235.1 meV per atom
Space-group type: Fm-3m (225)
E: -3.359 eV/atom
Energy relative to the elements, uncorrected: -61 kJ/mol of formula units

Structure (extended XYZ):
```
4
Lattice="0.000 3.117 3.117 3.117 0.000 3.117 3.117 3.117 0.000" Properties=species:S:1:pos:R:3 pbc="T T T"
In 0.000 0.000 0.000
Cu 1.559 1.559 1.559
Cu 4.676 4.676 4.676
F 3.117 3.117 3.117
```

---

11.
This record from the Alexandria database describes a geometry-optimized K3InCu2F9 structure. The functional is PBE.

Space-group type: P-3m1 (164)
E: -4.356 eV/atom
Energy relative to the elements, uncorrected: -3307 kJ/mol of formula units

Structure (extended XYZ):
```
15
Lattice="5.961 0.000 0.000 -2.980 5.162 0.000 0.000 0.000 7.397" Properties=species:S:1:pos:R:3 pbc="T T T"
K 0.000 0.000 0.000
K 0.000 3.442 5.160
K 2.980 1.721 2.236
In 0.000 0.000 3.698
Cu 0.000 3.442 1.146
Cu 2.980 1.721 6.251
F -1.490 2.581 0.000
F 0.000 1.712 2.467
F -1.498 4.306 2.467
F 1.483 0.856 4.930
F 2.980 0.000 0.000
F 1.490 2.581 0.000
F 1.498 4.306 2.467
F 4.478 0.856 4.930
F 2.980 3.450 4.930
```

---

12.
This record from the Alexandria database describes a geometry-optimized K2InCu3F12 structure. The functional is PBE.

Space-group type: R-3m (166)
E: -4.239 eV/atom
Energy relative to the elements, uncorrected: -3534 kJ/mol of formula units

Structure (extended XYZ):
```
18
Lattice="3.665 2.116 6.108 -3.665 2.116 6.108 0.000 -4.232 6.108" Properties=species:S:1:pos:R:3 pbc="T T T"
K 0.000 0.000 2.041
K 0.000 0.000 16.283
In 0.000 0.000 9.162
Cu -1.832 -1.058 6.108
Cu -1.832 1.058 12.216
Cu 0.000 2.116 6.108
F -1.585 -0.915 8.112
F 0.000 -1.680 5.855
F -1.455 0.840 5.855
F 0.000 -1.830 10.212
F -1.585 0.915 10.212
F -1.455 -0.840 12.469
F 1.455 0.840 5.855
F 1.585 -0.915 8.112
F 0.000 1.830 8.112
F 1.455 -0.840 12.469
F 0.000 1.680 12.469
F 1.585 0.915 10.212
```

---

13.
This record from the Alexandria database describes a geometry-optimized K2InCuF6 structure. The functional is PBE.

Space-group type: Pmmn (59)
E: -4.364 eV/atom
Energy relative to the elements, uncorrected: -2256 kJ/mol of formula units

Structure (extended XYZ):
```
20
Lattice="6.102 0.000 0.000 0.000 8.606 0.000 0.000 0.000 6.099" Properties=species:S:1:pos:R:3 pbc="T T T"
K 1.526 8.605 1.524
K 1.526 4.304 1.524
K 4.577 0.001 4.575
K 4.577 4.302 4.575
In 1.526 2.152 4.570
In 4.577 6.455 1.528
Cu 1.526 6.455 4.578
Cu 4.577 2.152 1.521
F 0.017 2.152 6.073
F 0.022 2.152 3.062
F 1.526 0.022 4.574
F 1.526 4.281 4.574
F 3.029 2.152 3.062
F 3.034 2.152 6.073
F 3.068 6.455 0.026
F 3.073 6.455 3.036
F 4.577 4.325 1.525
F 4.577 8.585 1.525
F 6.080 6.455 3.036
F 6.085 6.455 0.026
```

---

14.
This record from the Alexandria database describes a geometry-optimized KInCu2F8 structure. The functional is PBE.

Space-group type: I-4 (82)
E: -4.238 eV/atom
Energy relative to the elements, uncorrected: -2302 kJ/mol of formula units

Structure (extended XYZ):
```
12
Lattice="-2.773 2.773 5.374 2.773 -2.773 5.374 2.773 2.773 -5.374" Properties=species:S:1:pos:R:3 pbc="T T T"
K 0.000 0.000 0.000
In 2.773 0.000 2.687
Cu 0.000 0.000 5.374
Cu 0.000 2.773 2.687
F 2.159 1.125 0.776
F 1.648 -0.614 4.597
F -1.066 1.266 2.151
F 1.125 3.387 -0.776
F 1.507 1.707 3.222
F 0.614 1.648 6.150
F 1.066 4.281 2.151
F -1.507 3.839 3.222
```

---

15.
This record from the Alexandria database describes a geometry-optimized KInCuF6 structure. The functional is PBE.

Space-group type: Imma (74)
E: -4.379 eV/atom
Energy relative to the elements, uncorrected: -1954 kJ/mol of formula units

Structure (extended XYZ):
```
18
Lattice="-3.666 3.926 5.477 3.666 -3.926 5.477 3.666 3.926 -5.477" Properties=species:S:1:pos:R:3 pbc="T T T"
K 0.000 1.963 0.523
K 3.666 1.963 4.954
In 3.666 0.000 0.000
In 0.000 0.000 5.477
Cu 1.833 1.963 -2.739
Cu 1.833 -1.963 2.739
F 3.666 -1.963 3.292
F 2.073 -0.494 1.268
F 5.258 -0.494 1.268
F 2.073 3.431 -1.268
F 1.592 -0.494 4.209
F 3.666 1.963 0.852
F 0.000 1.963 4.626
F 2.073 4.420 1.268
F 1.592 0.494 6.745
F -1.592 4.420 4.209
F 1.592 4.420 4.209
F 0.000 5.888 2.185
```

---

16.
This record from the Alexandria database describes a geometry-optimized Li2InCuF8 structure. The functional is PBE.

Space-group type: P2/m (10)
E: -4.404 eV/atom
Energy relative to the elements, uncorrected: -2626 kJ/mol of formula units

Structure (extended XYZ):
```
12
Lattice="4.748 0.000 0.000 0.000 6.331 0.000 -0.201 0.000 4.751" Properties=species:S:1:pos:R:3 pbc="T T T"
Li 0.000 1.503 0.000
Li 0.000 4.828 0.000
In 2.273 3.165 2.376
Cu 2.273 0.000 2.376
F 0.874 3.165 0.892
F 0.964 0.000 0.988
F 1.318 1.454 3.273
F 1.318 4.877 3.273
F 3.228 1.454 1.478
F 3.228 4.877 1.478
F 3.582 0.000 3.763
F 3.673 3.165 3.859
```

---

17.
This record from the Alexandria database describes a geometry-optimized LiInCuF6 structure. The functional is PBE.

Space-group type: P4_2nm (102)
E: -4.485 eV/atom
Energy relative to the elements, uncorrected: -1967 kJ/mol of formula units

Structure (extended XYZ):
```
18
Lattice="4.819 0.000 0.000 0.000 4.819 0.000 0.000 0.000 9.619" Properties=species:S:1:pos:R:3 pbc="T T T"
Li 0.000 0.000 0.000
Li 2.410 2.410 4.809
In 0.000 0.000 6.394
In 2.410 2.410 1.585
Cu 0.000 0.000 3.181
Cu 2.410 2.410 7.991
F 0.922 0.922 1.590
F 0.951 0.951 4.759
F 0.975 0.975 8.000
F 1.435 3.384 3.191
F 1.458 3.361 9.568
F 1.488 3.331 6.399
F 3.331 1.488 6.399
F 3.361 1.458 9.568
F 3.384 1.435 3.191
F 3.844 3.844 8.000
F 3.868 3.868 4.759
F 3.897 3.897 1.590
```

---

18.
This record from the Alexandria database describes a geometry-optimized MgInCu2F structure. The functional is PBE.

Space-group type: P4/mmm (123)
E: -3.338 eV/atom
Energy relative to the elements, uncorrected: -221 kJ/mol of formula units

Structure (extended XYZ):
```
5
Lattice="4.701 0.000 0.000 0.000 4.701 0.000 0.000 0.000 3.718" Properties=species:S:1:pos:R:3 pbc="T T T"
Mg 0.000 0.000 0.000
In 2.350 2.350 0.000
Cu 0.000 2.350 1.859
Cu 2.350 0.000 1.859
F 0.000 0.000 1.859
```

---

19.
This record from the Alexandria database describes a geometry-optimized InCuN2F structure. The functional is PBE.

Energy above the lowest structure with this stoichiometry: 347.3 meV per atom
Space-group type: P4/mmm (123)
E: -4.117 eV/atom
Energy relative to the elements, uncorrected: 460 kJ/mol of formula units

Structure (extended XYZ):
```
5
Lattice="4.307 0.000 0.000 0.000 4.307 0.000 0.000 0.000 4.231" Properties=species:S:1:pos:R:3 pbc="T T T"
In 0.000 0.000 0.000
Cu 2.153 2.153 2.115
N 0.000 2.153 0.000
N 2.153 0.000 0.000
F 0.000 0.000 2.115
```

---

20.
This record from the Alexandria database describes a geometry-optimized InCuN2F structure. The functional is PBE.

Energy above the lowest structure with this stoichiometry: 0.0 meV per atom
Space-group type: P4/mmm (123)
E: -4.464 eV/atom
Energy relative to the elements, uncorrected: 293 kJ/mol of formula units

Structure (extended XYZ):
```
5
Lattice="3.816 0.000 0.000 0.000 3.816 0.000 0.000 0.000 4.054" Properties=species:S:1:pos:R:3 pbc="T T T"
In 0.000 0.000 0.000
Cu 1.908 1.908 2.027
N 0.000 1.908 2.027
N 1.908 0.000 2.027
F 1.908 1.908 0.000
```